A relaxed Ho2Al3Zn6 crystal, computed with PBE.

Computed properties:
The space-group type is Cmmm, No. 65. For the density, the calculation gives 6.32 g cm⁻³. The spin magnetization is 0.00 Bohr magnetons per cell. For the formation enthalpy at 0 K, the calculation gives -0.141 eV/atom.

Cell and atoms, written as POSCAR:
```
Ho2Al3Zn6
1.0
5.111 -5.152 0.000
5.111 5.152 0.000
0.000 0.000 4.007
Ho Al Zn
2 3 6
Cartesian
5.111 2.901 0.000
5.111 -2.901 0.000
3.031 0.000 0.000
5.111 0.000 2.003
7.191 0.000 0.000
1.187 0.000 2.003
3.191 1.605 2.003
3.191 -1.605 2.003
7.032 1.605 2.003
7.032 -1.605 2.003
9.036 0.000 2.003
```